DFT (PBEsol) results for a geometry-optimized HgSbAu structure.

The structure in extended XYZ format:
```
3
Lattice="4.1052 0.0000 0.0000 -2.0526 3.5552 0.0000 0.0000 0.0000 4.8253" Properties=species:S:1:pos:R:3 pbc="T T T"
Sb 2.0526 1.1851 1.4458
Au 0.0000 0.0000 0.0623
Hg 0.0000 2.3702 3.3171
```

Results
Formation energy from raw total energies: 0.0407 eV per atom
Uncorrected energy: -8.926 eV for the cell shown
Total magnetization: 0.00 μB/f.u.

DFT (PBEsol) results for a geometry-optimized YCd2W structure.

The structure in extended XYZ format:
```
4
Lattice="3.0728 0.0000 0.0000 0.0000 5.2113 0.0000 -1.5364 -2.6056 5.0710" Properties=species:S:1:pos:R:3 pbc="T T T"
Cd 0.0000 0.0000 0.1224
Cd 1.5364 0.0000 2.5798
W 0.0000 0.0000 5.0005
Y 0.0000 2.6056 2.4394
```

Results
Uncorrected energy: -21.368 eV for the cell shown
Total magnetization: 0.00 μB/f.u.
Distance to the lowest polymorph of the same formula: 0.000 eV/atom
Energy of formation from the pure elements: 0.414 eV/atom

DFT (PBEsol) results for a geometry-optimized HoGaPd structure.

The structure in extended XYZ format:
```
12
Lattice="-1.7572 1.1512 -3.8608 -2.7627 -6.1784 -0.5849 -6.1664 2.4232 3.5291" Properties=species:S:1:pos:R:3 pbc="T T T"
Ho -8.9795 -3.2653 -0.6396
Ho -6.9551 -0.4288 -0.7152
Ho -1.7067 0.6613 -0.2770
Ho -3.7311 -2.1752 -0.2014
Ga -6.2094 -3.2066 -1.8829
Ga -2.6862 -0.9591 -2.8163
Ga -4.4769 0.6026 0.9663
Ga -8.0001 -1.6449 1.8997
Pd -4.4143 0.4863 -1.5988
Pd -3.8985 -3.3485 -2.9770
Pd -6.2720 -3.0903 0.6822
Pd -6.7878 0.7445 2.0604
```

Results
Uncorrected energy: -68.129 eV for the cell shown
Total magnetization: 0.00 μB/f.u.
Energy of formation from the pure elements: -0.928 eV/atom

DFT (PBEsol) results for a geometry-optimized Si3Au10 structure.

The structure in extended XYZ format:
```
26
Lattice="8.2824 0.0000 0.0000 -2.7608 7.8087 0.0000 -2.7608 -3.9044 6.7626" Properties=species:S:1:pos:R:3 pbc="T T T"
Si 1.6702 2.3621 0.0000
Si -3.8514 2.7233 4.7170
Si 1.6702 -1.1810 2.0456
Si 3.8514 5.4467 0.0000
Si -1.6702 1.1810 2.0456
Si 3.8514 -2.7233 4.7170
Au 1.3347 -2.6566 4.6014
Au 1.3347 5.3133 0.0000
Au 4.0955 1.2477 2.1612
Au 4.5645 -1.5147 2.6236
Au -0.1888 -0.2670 4.7847
Au -2.9496 3.7985 2.6236
Au 2.5720 -0.1058 4.1390
Au 2.5720 3.6374 1.9778
Au -0.9571 2.3896 4.1390
Au -0.1888 4.2772 2.1612
Au 4.5645 3.0295 0.0000
Au -2.9496 0.3728 4.6014
Au 2.5805 0.0000 0.0000
Au -0.8602 -1.2165 2.1070
Au 1.9006 2.6879 4.6556
Au -0.8602 2.4330 0.0000
Au 5.5814 0.0000 0.0000
Au -1.8605 -2.6311 4.5572
Au 0.9003 1.2733 2.2054
Au -1.8605 5.2622 0.0000
```

Results
Formation energy from raw total energies: 0.0120 eV per atom
Uncorrected energy: -112.648 eV for the cell shown
Total magnetization: 0.00 μB/f.u.

DFT (PBEsol) results for a geometry-optimized TaHgCl2 structure.

The structure in extended XYZ format:
```
4
Lattice="2.9974 0.0000 0.0000 0.0000 4.4207 0.0000 -1.4987 -2.2103 6.7340" Properties=species:S:1:pos:R:3 pbc="T T T"
Cl 1.4987 2.2103 5.5329
Cl 1.4987 0.0000 3.3098
Hg 1.4987 2.2103 1.0450
Ta 0.0000 2.2103 3.5804
```

Results
Formation energy from raw total energies: -0.1544 eV per atom
Uncorrected energy: -17.751 eV for the cell shown
Total magnetization: 1.01 μB/f.u.
Distance to the lowest polymorph of the same formula: 0.000 eV/atom

DFT (PBEsol) results for a geometry-optimized LaMgZr structure.

The structure in extended XYZ format:
```
3
Lattice="-1.2764 2.9045 0.7249 -0.9020 0.3783 -3.1039 -5.3099 -4.8209 2.6615" Properties=species:S:1:pos:R:3 pbc="T T T"
La -7.4368 -1.5126 0.2708
Mg -3.3728 0.5067 -0.6641
Zr -4.1669 -2.0704 0.9586
```

Results
Uncorrected energy: -15.922 eV for the cell shown
Total magnetization: 0.00 μB/f.u.
Distance to the lowest polymorph of the same formula: 0.000 eV/atom
Energy of formation from the pure elements: 0.077 eV/atom

DFT (PBEsol) results for a geometry-optimized Y2ZrP structure.

The structure in extended XYZ format:
```
4
Lattice="4.2516 0.0000 0.0000 0.0000 4.2516 0.0000 -2.1258 -2.1258 4.7452" Properties=species:S:1:pos:R:3 pbc="T T T"
P 0.0000 0.0000 0.0000
Y 2.1258 0.0000 2.3726
Y 0.0000 2.1258 2.3726
Zr 2.1258 2.1258 0.0000
```

Results
Uncorrected energy: -29.671 eV for the cell shown
Total magnetization: 0.00 μB/f.u.
Energy of formation from the pure elements: -0.286 eV/atom

DFT (PBEsol) results for a geometry-optimized ScCoW3 structure.

The structure in extended XYZ format:
```
5
Lattice="-0.4441 2.7167 3.5541 1.9568 -3.0938 2.6094 4.0229 1.8048 -0.8769" Properties=species:S:1:pos:R:3 pbc="T T T"
Sc 0.0000 0.0000 0.0000
Co 2.7678 0.7138 2.6433
W 0.9784 -1.5469 1.3047
W 2.0114 0.9024 -0.4384
W -0.2221 1.3584 1.7771
```

Results
Uncorrected energy: -41.906 eV for the cell shown
Total magnetization: 1.52 μB/f.u.
Energy of formation from the pure elements: 2.772 eV/atom

DFT (PBEsol) results for a geometry-optimized BeFeOs structure.

The structure in extended XYZ format:
```
3
Lattice="2.6146 0.0000 0.0000 -1.3073 2.2643 0.0000 0.0000 0.0000 5.8064" Properties=species:S:1:pos:R:3 pbc="T T T"
Be 0.0000 0.0000 5.7592
Os 1.3073 0.7548 1.9223
Fe 0.0000 1.5095 3.9313
```

Results
Uncorrected energy: -24.796 eV for the cell shown
Total magnetization: 1.76 μB/f.u.
Distance to the lowest polymorph of the same formula: 0.252 eV/atom
Energy of formation from the pure elements: 0.128 eV/atom

DFT (PBEsol) results for a geometry-optimized Al2CoO4 structure.

The structure in extended XYZ format:
```
14
Lattice="-1.8581 -1.6592 -5.1473 0.6696 -5.4285 -1.6683 -4.5467 -3.4419 -0.4257" Properties=species:S:1:pos:R:3 pbc="T T T"
Co 0.0000 0.0000 0.0000
Co -1.4338 -2.6324 -1.8103
Al -2.6554 -5.7514 -1.9522
Al -3.9193 -3.8668 -3.6917
Al -3.5845 -6.5810 -4.5258
Al -1.3111 -4.8601 -4.3130
O -3.0562 -4.8321 -5.1044
O -5.2366 -6.6540 -5.4941
O -4.1127 -8.3299 -3.9473
O -1.9323 -6.5080 -3.5575
O -2.2301 -4.0944 -2.8157
O -4.2516 -5.6248 -3.0050
O -2.9173 -7.5373 -6.0466
O -4.9388 -9.0677 -6.2359
```

Results
Formation energy from raw total energies: -2.3643 eV per atom
Uncorrected energy: -106.934 eV for the cell shown
Total magnetization: 3.00 μB/f.u.

DFT (PBEsol) results for a geometry-optimized SrCrCu structure.

The structure in extended XYZ format:
```
3
Lattice="4.3487 0.0000 0.0000 0.0000 4.3694 0.0000 0.0000 -2.1847 3.7840" Properties=species:S:1:pos:R:3 pbc="T T T"
Cr 0.0000 0.0000 0.0000
Cu 0.0000 2.1847 1.2613
Sr 2.1744 0.0000 2.5227
```

Results
Uncorrected energy: -14.591 eV for the cell shown
Total magnetization: 4.37 μB/f.u.
Distance to the lowest polymorph of the same formula: 0.000 eV/atom
Energy of formation from the pure elements: 0.608 eV/atom

DFT (PBEsol) results for a geometry-optimized Be2InSb structure.

The structure in extended XYZ format:
```
4
Lattice="4.6277 0.0000 0.0000 2.3138 4.0077 0.0000 2.3138 1.3359 3.7785" Properties=species:S:1:pos:R:3 pbc="T T T"
Sb 4.6277 2.6718 1.8892
Be 2.3138 1.3359 0.9446
Be 6.9415 4.0077 2.8339
In 0.0000 0.0000 0.0000
```

Results
Formation energy from raw total energies: 0.6696 eV per atom
Uncorrected energy: -12.862 eV for the cell shown
Total magnetization: 0.00 μB/f.u.
Distance to the lowest polymorph of the same formula: 0.226 eV/atom

DFT (PBEsol) results for a geometry-optimized Rb2AsPd structure.

The structure in extended XYZ format:
```
8
Lattice="-0.8972 2.9504 3.5349 -9.0352 -1.8547 2.3674 2.4380 -4.8805 7.8048" Properties=species:S:1:pos:R:3 pbc="T T T"
As -0.4486 1.4752 1.7674
As -3.5228 -2.6300 5.9699
Pd 0.0000 0.0000 0.0000
Pd -3.9714 -1.1548 7.7373
Rb -7.0907 -0.2654 6.9814
Rb -1.0765 -1.3066 9.3769
Rb -5.0049 -4.0187 9.0872
Rb -2.7137 0.9715 5.5037
```

Results
Uncorrected energy: -27.978 eV for the cell shown
Total magnetization: 0.00 μB/f.u.
Energy of formation from the pure elements: -0.218 eV/atom

DFT (PBEsol) results for a geometry-optimized LiIn3 structure.

The structure in extended XYZ format:
```
4
Lattice="-2.2040 2.4590 2.9659 -2.2750 -3.5879 1.2841 5.4358 -0.3416 1.0014" Properties=species:S:1:pos:R:3 pbc="T T T"
In 1.5990 -0.4536 1.5643
In -0.6422 -1.0170 3.6871
In -1.1020 1.2295 1.4830
Li -1.1375 -1.7940 0.6420
```

Results
Uncorrected energy: -11.576 eV for the cell shown
Total magnetization: 0.00 μB/f.u.
Energy of formation from the pure elements: -0.165 eV/atom

DFT (PBEsol) results for a geometry-optimized TaTeBr2 structure.

The structure in extended XYZ format:
```
4
Lattice="3.2120 0.0000 0.0117 0.0000 4.6425 0.0000 -0.7123 0.0000 6.8492" Properties=species:S:1:pos:R:3 pbc="T T T"
Te 0.7982 2.3212 4.8304
Br 3.0932 0.0000 0.7404
Br 1.6646 2.3212 1.8549
Ta 1.4057 0.0000 2.8774
```

Results
Formation energy from raw total energies: -0.0014 eV per atom
Uncorrected energy: -19.823 eV for the cell shown
Total magnetization: 0.00 μB/f.u.
Distance to the lowest polymorph of the same formula: 0.205 eV/atom

DFT (PBEsol) results for a geometry-optimized PdPbC3 structure.

The structure in extended XYZ format:
```
5
Lattice="4.0847 0.0000 0.0000 0.0000 4.0847 0.0000 0.0000 0.0000 4.0847" Properties=species:S:1:pos:R:3 pbc="T T T"
Pb 2.0424 2.0424 2.0424
C 0.0000 2.0424 0.0000
C 0.0000 0.0000 2.0424
C 2.0424 0.0000 0.0000
Pd 0.0000 0.0000 0.0000
```

Results
Uncorrected energy: -26.777 eV for the cell shown
Total magnetization: 0.01 μB/f.u.
Energy of formation from the pure elements: 2.422 eV/atom

DFT (PBEsol) results for a geometry-optimized SrOs3 structure.

The structure in extended XYZ format:
```
4
Lattice="2.7925 0.0000 0.0000 0.0000 4.9704 0.0000 -1.3962 -2.4852 4.8496" Properties=species:S:1:pos:R:3 pbc="T T T"
Os 1.3962 2.3356 2.6946
Os 0.0000 -0.1496 2.1549
Os 1.3962 4.2568 0.0000
Sr 0.0000 1.8412 0.0000
```

Results
Uncorrected energy: -34.940 eV for the cell shown
Total magnetization: 0.00 μB/f.u.
Energy of formation from the pure elements: 0.887 eV/atom

DFT (PBEsol) results for a geometry-optimized IrRhW2 structure.

The structure in extended XYZ format:
```
4
Lattice="-1.0886 2.6879 -2.5703 -2.9759 -2.2357 -1.0776 -0.2024 1.4483 4.5213" Properties=species:S:1:pos:R:3 pbc="T T T"
Ir 0.0000 0.0000 0.0000
Rh -2.0322 0.2261 -1.8240
W -1.6616 2.1811 0.0635
W -2.6053 -0.2807 0.8098
```

Results
Uncorrected energy: -46.572 eV for the cell shown
Total magnetization: 0.00 μB/f.u.
Distance to the lowest polymorph of the same formula: 0.004 eV/atom
Energy of formation from the pure elements: -0.249 eV/atom

DFT (PBEsol) results for a geometry-optimized BaBi3As structure.

The structure in extended XYZ format:
```
5
Lattice="-2.7465 -3.5400 3.3690 4.1043 0.4268 3.7944 -2.6526 4.3256 2.3827" Properties=species:S:1:pos:R:3 pbc="T T T"
As 0.0000 0.0000 0.0000
Bi 2.0521 0.2134 1.8972
Bi -1.3263 2.1628 1.1913
Bi -1.3732 -1.7700 1.6845
Ba -0.6474 0.6062 4.7730
```

Results
Uncorrected energy: -20.544 eV for the cell shown
Total magnetization: 0.00 μB/f.u.
Energy of formation from the pure elements: -0.086 eV/atom

DFT (PBEsol) results for a geometry-optimized Te3Mo structure.

The structure in extended XYZ format:
```
8
Lattice="-2.4283 2.4516 2.4153 -3.4394 -1.8318 -1.5987 3.2796 -8.6548 8.4098" Properties=species:S:1:pos:R:3 pbc="T T T"
Mo -2.8083 -2.7197 3.6097
Mo 0.2202 -5.3153 5.6167
Te -1.7197 -0.9159 -0.7993
Te -1.2142 1.2258 1.2076
Te -1.0413 -2.9467 5.6167
Te -1.5468 -5.0884 3.6097
Te -2.6799 -5.8192 6.8849
Te 0.0918 -2.2159 2.3415
```

Results
Formation energy from raw total energies: 0.4978 eV per atom
Uncorrected energy: -40.710 eV for the cell shown
Total magnetization: 0.01 μB/f.u.

DFT (PBEsol) results for a geometry-optimized SrLi2Al structure.

The structure in extended XYZ format:
```
4
Lattice="-2.4788 -0.7008 3.9802 -0.5160 -4.3795 1.7410 3.5763 -1.0447 4.8510" Properties=species:S:1:pos:R:3 pbc="T T T"
Sr 0.2096 -3.0752 5.2358
Al -0.5706 -1.6328 2.1823
Li -2.9173 -5.0690 5.7704
Li 1.1557 -4.4908 8.3908
```

Results
Uncorrected energy: -9.968 eV for the cell shown
Total magnetization: 0.00 μB/f.u.
Energy of formation from the pure elements: -0.026 eV/atom

DFT (PBEsol) results for a geometry-optimized Hg3AsBr structure.

The structure in extended XYZ format:
```
5
Lattice="5.2483 0.0000 0.0000 0.0000 5.2483 0.0000 0.0000 0.0000 5.2483" Properties=species:S:1:pos:R:3 pbc="T T T"
As 0.0000 0.0000 0.0000
Hg 0.0000 2.6241 0.0000
Hg 0.0000 0.0000 2.6241
Hg 2.6241 0.0000 0.0000
Br 2.6241 2.6241 2.6241
```

Results
Formation energy from raw total energies: -0.0174 eV per atom
Uncorrected energy: -8.764 eV for the cell shown
Total magnetization: 0.00 μB/f.u.

DFT (PBEsol) results for a geometry-optimized Ir3SeN structure.

The structure in extended XYZ format:
```
5
Lattice="4.5291 0.0000 0.0000 0.0000 4.5291 0.0000 0.0000 0.0000 4.5291" Properties=species:S:1:pos:R:3 pbc="T T T"
Ir 0.0000 2.2646 0.0000
Ir 0.0000 0.0000 2.2646
Ir 2.2646 0.0000 0.0000
Se 0.0000 0.0000 0.0000
N 2.2646 2.2646 2.2646
```

Results
Formation energy from raw total energies: 2.6225 eV per atom
Uncorrected energy: -28.735 eV for the cell shown
Total magnetization: 3.12 μB/f.u.

DFT (PBEsol) results for a geometry-optimized TaCd3Co structure.

The structure in extended XYZ format:
```
5
Lattice="-3.7921 -2.5032 -1.0894 2.7015 -3.1724 -2.1145 0.3932 -2.3459 4.0219" Properties=species:S:1:pos:R:3 pbc="T T T"
Cd 1.3508 -1.5862 -1.0572
Cd 0.1966 -1.1729 2.0109
Cd -1.8961 -1.2516 -0.5447
Co 0.0000 0.0000 0.0000
Ta -0.3487 -4.0107 0.4090
```

Results
Uncorrected energy: -17.968 eV for the cell shown
Total magnetization: 2.00 μB/f.u.
Energy of formation from the pure elements: 1.182 eV/atom

DFT (PBEsol) results for a geometry-optimized Y4Ag3 structure.

The structure in extended XYZ format:
```
7
Lattice="-2.8870 1.7037 -1.3016 -1.4156 0.1249 3.3033 8.0662 10.7098 1.0945" Properties=species:S:1:pos:R:3 pbc="T T T"
Y 1.9015 3.7369 0.6736
Y 5.1121 10.0464 1.8110
Y -1.3485 2.4919 1.2852
Y 1.8621 8.8014 2.4226
Ag 0.0000 0.0000 0.0000
Ag 3.2722 6.4306 1.1592
Ag 0.4914 6.1077 1.9370
```

Results
Uncorrected energy: -38.651 eV for the cell shown
Total magnetization: 1.67 μB/f.u.
Energy of formation from the pure elements: -0.204 eV/atom

DFT (PBEsol) results for a geometry-optimized TiBeFe2Sn structure.

The structure in extended XYZ format:
```
5
Lattice="-1.6025 -3.6317 1.4896 3.4572 -0.2380 3.1392 -2.6053 2.4011 3.0513" Properties=species:S:1:pos:R:3 pbc="T T T"
Be -0.8013 -1.8158 0.7448
Ti -0.3753 -0.7343 3.8400
Sn 0.0000 0.0000 0.0000
Fe -1.3026 1.2006 1.5256
Fe 1.7286 -0.1190 1.5696
```

Results
Uncorrected energy: -27.906 eV for the cell shown
Total magnetization: 3.24 μB/f.u.
Energy of formation from the pure elements: 1.321 eV/atom

DFT (PBEsol) results for a geometry-optimized CsBe2HgS structure.

The structure in extended XYZ format:
```
5
Lattice="-5.0174 1.7790 -1.2952 -2.5472 -6.2118 1.3352 -1.0349 1.8250 6.5158" Properties=species:S:1:pos:R:3 pbc="T T T"
Cs 0.0000 0.0000 0.0000
Be -0.5175 0.9125 3.2579
Be -1.2736 -3.1059 0.6676
S -2.5087 0.8895 -0.6476
Hg -4.2998 -1.3039 3.2779
```

Results
Formation energy from raw total energies: 1.6593 eV per atom
Uncorrected energy: -5.597 eV for the cell shown
Total magnetization: 0.00 μB/f.u.